Entry 1:
VASP calculation (PBE) on Ta2CrOsN after structural relaxation.

Output
**Uncorrected formation energy**: -436 meV per atom
**Theoretical density**: 15.0 Mg/m³
**Calculated volume**: 68.5 Å³/cell

Unit cell a=4.2710 b=4.2710 c=3.7562 alpha=90.00 beta=90.00 gamma=90.00
Space group P4/mmm (No. 123)
Inequivalent atoms, fractional coordinates:
Ta 0.0000 0.5000 0.0000
Cr 0.0000 0.0000 0.5000
Os 0.5000 0.5000 0.5000
N 0.0000 0.0000 0.0000

=====

Entry 2:
VASP calculation (PBE) on Cr2TcOsN after structural relaxation.

Output
**Uncorrected formation energy**: -56 meV per atom
**Theoretical density**: 11.4 Mg/m³
**Calculated volume**: 59.1 Å³/cell

Unit cell a=3.8520 b=3.8520 c=3.9800 alpha=90.00 beta=90.00 gamma=90.00
Space group P4/mmm (No. 123)
Inequivalent atoms, fractional coordinates:
Cr 0.0000 0.5000 0.0000
Tc 0.0000 0.0000 0.5000
Os 0.5000 0.5000 0.5000
N 0.0000 0.0000 0.0000

=====

uncorrected formation energy of number 1 (Ta2CrOsN)?
-436 meV per atom